The following is a PBE calculation of an optimized crystal structure of Th4Pt7Rh6, from Alexandria via LeMat-Bulk.

Computed properties:
For the formation enthalpy at 0 K, the calculation gives -844 meV/atom.

Lattice parameters (Å, degrees): 7.443 7.443 7.443 109.47 109.47 109.47
Sites, in units of the cell vectors:
Th  0.000  0.000  0.500
Th  0.000  0.500  0.000
Th  0.500  0.000  0.000
Th  0.500  0.500  0.500
Pt  0.000  0.000  0.000
Pt  0.250  0.500  0.750
Pt  0.250  0.750  0.500
Pt  0.500  0.250  0.750
Pt  0.500  0.750  0.250
Pt  0.750  0.250  0.500
Pt  0.750  0.500  0.250
Rh  0.000  0.299  0.299
Rh  0.000  0.701  0.701
Rh  0.299  0.000  0.299
Rh  0.299  0.299  0.000
Rh  0.701  0.000  0.701
Rh  0.701  0.701  0.000


The following is a PBE calculation of an optimized crystal structure of CrMo2W5, from Alexandria via LeMat-Bulk.

Computed properties:
For the formation enthalpy at 0 K, the calculation gives 149 meV/atom.

Lattice parameters (Å, degrees): 5.401 10.522 4.426 90.00 90.00 90.00
Sites, in units of the cell vectors:
Cr  0.000  0.000  0.000
Cr  0.500  0.500  0.000
Mo  0.168  0.380  0.500
Mo  0.332  0.880  0.500
Mo  0.668  0.120  0.500
Mo  0.832  0.620  0.500
W  0.000  0.500  0.000
W  0.157  0.753  0.000
W  0.162  0.118  0.500
W  0.338  0.618  0.500
W  0.343  0.253  0.000
W  0.500  0.000  0.000
W  0.657  0.747  0.000
W  0.662  0.382  0.500
W  0.838  0.882  0.500
W  0.843  0.247  0.000


The following is a PBE calculation of an optimized crystal structure of CaTlCl2, from Alexandria via LeMat-Bulk.

Computed properties:
Its energy above the most stable polymorph in this dataset is 282 meV/atom. The formation energy (no corrections) is -1.335 eV per atom.

Lattice parameters (Å, degrees): 8.117 8.117 8.117 126.33 126.33 79.34
Sites, in units of the cell vectors:
Ca  0.000  0.000  0.000
Ca  0.750  0.250  0.500
Tl  0.250  0.750  0.500
Tl  0.500  0.500  0.000
Cl  0.018  0.625  0.893
Cl  0.375  0.268  0.393
Cl  0.732  0.125  0.107
Cl  0.875  0.982  0.607


The following is a PBE calculation of an optimized crystal structure of HfCd3, from Alexandria via LeMat-Bulk.

Computed properties:
For the formation enthalpy at 0 K, the calculation gives 89 meV/atom.

Lattice parameters (Å, degrees): 3.173 4.908 5.614 90.00 90.00 90.00
Sites, in units of the cell vectors:
Hf  0.000  0.000  0.000
Cd  0.000  0.500  0.325
Cd  0.500  0.000  0.501
Cd  0.500  0.500  0.830


The following is a PBE calculation of an optimized crystal structure of PrNdNi2P2, from Alexandria via LeMat-Bulk.

Computed properties:
For the formation enthalpy at 0 K, the calculation gives -1149 meV/atom.

Lattice parameters (Å, degrees): 3.970 3.970 8.165 90.00 90.00 120.00
Sites, in units of the cell vectors:
Pr  0.000  0.000  0.000
Nd  0.000  0.000  0.500
Ni  0.333  0.667  0.749
Ni  0.667  0.333  0.251
P  0.333  0.667  0.253
P  0.667  0.333  0.747


The following is a PBE calculation of an optimized crystal structure of CeGaPd2, from Alexandria via LeMat-Bulk.

Computed properties:
For the formation enthalpy at 0 K, the calculation gives -614 meV/atom.

Lattice parameters (Å, degrees): 3.191 3.191 7.155 90.00 90.00 90.00
Sites, in units of the cell vectors:
Ce  0.000  0.000  0.000
Ga  0.000  0.000  0.500
Pd  0.500  0.500  0.298
Pd  0.500  0.500  0.702


The following is a PBE calculation of an optimized crystal structure of CuSiSe2, from Alexandria via LeMat-Bulk.

Computed properties:
The formation energy (no corrections) is -0.096 eV per atom.

Lattice parameters (Å, degrees): 3.693 3.693 6.445 106.68 106.68 60.08
Sites, in units of the cell vectors:
Cu  0.000  0.000  0.000
Si  0.500  0.500  0.500
Se  0.250  0.250  0.749
Se  0.750  0.750  0.251


The following is a PBE calculation of an optimized crystal structure of Ba2TeIr, from Alexandria via LeMat-Bulk.

Computed properties:
The formation energy (no corrections) is -0.577 eV per atom.

Lattice parameters (Å, degrees): 6.359 6.359 4.864 92.69 92.69 44.98
Sites, in units of the cell vectors:
Ba  0.000  0.000  0.000
Ba  0.714  0.714  0.534
Te  0.301  0.301  0.059
Ir  0.400  0.400  0.574